(1)
Here is SrTe2HN after structural relaxation from the Alexandria database. Energies are from PBE.

## Properties
Excess energy over the best structure of this formula in the dataset, eV per atom: 0.915
DFT total energy, eV per cell: -12.8
SG: P4/mmm (123)

a b c (Å): 6.555 6.555 4.725
angles (deg): 90.00 90.00 90.00
Positions (direct):
Sr  0.000  0.000  0.000
Te  0.000  0.500  0.000
Te  0.500  0.000  0.000
H  0.500  0.500  0.500
N  0.000  0.000  0.500

=====

(2)
Here is SiSb2Cl after structural relaxation from the Alexandria database. Energies are from PBE.

## Properties
Uncorrected formation energy, eV per atom: 0.045
Excess energy over the best structure of this formula in the dataset, eV per atom: 0.011
DFT total energy, eV per cell: -15.3
SG: P2/m (10)

a b c (Å): 3.539 3.553 7.664
angles (deg): 90.00 96.26 90.00
Positions (direct):
Si  0.000  0.000  0.000
Sb  0.432  0.500  0.798
Sb  0.568  0.500  0.202
Cl  0.000  0.000  0.500

=====

(3)
Here is Pm2NdPaAs4 after structural relaxation from the Alexandria database. Energies are from PBE.

## Properties
DFT total energy, eV per cell: -53.7
SG: P2/m (10)
ΔE_f, meV/atom: -1412

a b c (Å): 7.271 4.207 7.281
angles (deg): 90.00 109.43 90.00
Positions (direct):
Pm  0.000  0.000  0.000
Pm  0.000  0.500  0.500
Nd  0.500  0.000  0.500
Pa  0.500  0.500  0.000
As  0.255  0.500  0.242
As  0.258  0.000  0.760
As  0.742  0.000  0.240
As  0.745  0.500  0.758

=====

(4)
Here is Sr2Cu3Ge4Ir after structural relaxation from the Alexandria database. Energies are from PBE.

## Properties
DFT total energy, eV per cell: -46.9
SG: P-4m2 (115)
ΔE_f, meV/atom: -392

a b c (Å): 4.294 4.294 10.332
angles (deg): 90.00 90.00 90.00
Positions (direct):
Sr  0.000  0.500  0.249
Sr  0.500  0.000  0.751
Cu  0.000  0.500  0.870
Cu  0.500  0.000  0.130
Cu  0.500  0.500  0.500
Ge  0.000  0.000  0.000
Ge  0.000  0.500  0.625
Ge  0.500  0.000  0.375
Ge  0.500  0.500  0.000
Ir  0.000  0.000  0.500

=====

(5)
Here is TaTiV2 after structural relaxation from the Alexandria database. Energies are from PBE.

## Properties
Excess energy over the best structure of this formula in the dataset, eV per atom: 0.000
DFT total energy, eV per cell: -37.7
SG: P4/mmm (123)
ΔE_f, meV/atom: 64

a b c (Å): 4.455 4.455 3.140
angles (deg): 90.00 90.00 90.00
Positions (direct):
Ta  0.000  0.000  0.000
Ti  0.500  0.500  0.000
V  0.000  0.500  0.500
V  0.500  0.000  0.500

=====

(6)
Here is Na2RhF after structural relaxation from the Alexandria database. Energies are from PBE.

## Properties
Uncorrected formation energy, eV per atom: -0.565
Excess energy over the best structure of this formula in the dataset, eV per atom: 0.000
DFT total energy, eV per cell: -28.2
SG: I-42d (122)

a b c (Å): 5.984 5.984 5.984
angles (deg): 113.90 113.90 100.94
Positions (direct):
Na  0.028  0.625  0.903
Na  0.375  0.278  0.403
Na  0.722  0.125  0.097
Na  0.875  0.972  0.597
Rh  0.250  0.750  0.500
Rh  0.500  0.500  0.000
F  0.000  0.000  0.000
F  0.750  0.250  0.500